# CsZr2In2 PBE relaxed
data_CsZr2In2
_chemical_formula_sum 'Cs2 Zr4 In4'
_symmetry_space_group_name_H-M 'P 4/m b m'
_symmetry_Int_Tables_number 127
_symmetry_space_group_name_Hall '-P 4 2ab'
_cell_length_a 9.3293
_cell_length_b 9.3293
_cell_length_c 3.2037
_cell_angle_alpha 90.00
_cell_angle_beta 90.00
_cell_angle_gamma 90.00
loop_
_atom_site_label
_atom_site_type_symbol
_atom_site_fract_x
_atom_site_fract_y
_atom_site_fract_z
Cs1 Cs 0.0000 0.0000 0.0000
Zr1 Zr 0.1203 0.3797 0.0000
In1 In 0.1703 0.6703 0.5000
# Fermi-level density of states (states/eV/atom): 1.10
# Offset from the most stable computed form (meV/atom): 0
# Energy relative to the elements (kJ/mol of formula units): 62
# VASP energy (eV/atom): -4.56